Model P:
## ZrSi2W (PBE-GGA)

Data for a relaxed ZrSi2W crystal.

```
data_ZrSi2W
_chemical_formula_sum 'Zr2 Si4 W2'
_symmetry_space_group_name_H-M 'I m m m'
_symmetry_Int_Tables_number 71
_symmetry_space_group_name_Hall '-I 2 2'
_cell_length_a 3.619
_cell_length_b 4.817
_cell_length_c 7.526
_cell_angle_alpha 90.00
_cell_angle_beta 90.00
_cell_angle_gamma 90.00
loop_
_atom_site_label
_atom_site_type_symbol
_atom_site_fract_x
_atom_site_fract_y
_atom_site_fract_z
Zr1 Zr 0.000 0.000 0.000
Si1 Si 0.000 0.500 0.242
W1 W 0.000 0.000 0.500
```

For the calculated density, the calculation gives 8.4 g/cm³. The value obtained for the density of states at the Fermi level is 0.54 states/eV/atom.

***

Model Q:
## ZrSi2W (PBE-GGA)

Data for a relaxed ZrSi2W crystal.

```
data_ZrSi2W
_chemical_formula_sum 'Zr1 Si2 W1'
_symmetry_space_group_name_H-M 'P 4/m m m'
_symmetry_Int_Tables_number 123
_symmetry_space_group_name_Hall '-P 4 2'
_cell_length_a 3.114
_cell_length_b 3.114
_cell_length_c 6.651
_cell_angle_alpha 90.00
_cell_angle_beta 90.00
_cell_angle_gamma 90.00
loop_
_atom_site_label
_atom_site_type_symbol
_atom_site_fract_x
_atom_site_fract_y
_atom_site_fract_z
Zr1 Zr 0.000 0.000 0.000
Si1 Si 0.500 0.500 0.290
W1 W 0.000 0.000 0.500
```

For the calculated density, the calculation gives 8.5 g/cm³. The value obtained for the density of states at the Fermi level is 0.62 states/eV/atom.

***

Model R:
## ZrSi2W (PBE-GGA)

Data for a relaxed ZrSi2W crystal.

```
data_ZrSi2W
_chemical_formula_sum 'Zr3 Si6 W3'
_symmetry_space_group_name_H-M 'R -3 m'
_symmetry_Int_Tables_number 166
_symmetry_space_group_name_Hall '-R 3 2"'
_cell_length_a 3.0502
_cell_length_b 3.0502
_cell_length_c 25.0590
_cell_angle_alpha 90.00
_cell_angle_beta 90.00
_cell_angle_gamma 120.00
loop_
_atom_site_label
_atom_site_type_symbol
_atom_site_fract_x
_atom_site_fract_y
_atom_site_fract_z
Zr1 Zr 0.0000 0.0000 0.0000
Si1 Si 0.0000 0.0000 0.2415
W1 W 0.0000 0.0000 0.5000
```

For the calculated density, the calculation gives 8.2 g/cm³. The value obtained for the density of states at the Fermi level is 0.79 states/eV/atom.

***

Need the numbers? Relative energies in eV/atom: model P 0.062; model Q 0.000; model R 0.213.

***

Model P:
## ZrSi2W (PBE-GGA)

Data for a relaxed ZrSi2W crystal.

```
data_ZrSi2W
_chemical_formula_sum 'Zr1 Si2 W1'
_symmetry_space_group_name_H-M 'P 4 m m'
_symmetry_Int_Tables_number 99
_symmetry_space_group_name_Hall 'P 4 -2'
_cell_length_a 2.760
_cell_length_b 2.760
_cell_length_c 8.716
_cell_angle_alpha 90.00
_cell_angle_beta 90.00
_cell_angle_gamma 90.00
loop_
_atom_site_label
_atom_site_type_symbol
_atom_site_fract_x
_atom_site_fract_y
_atom_site_fract_z
Zr1 Zr 0.000 0.000 0.000
Si1 Si 0.000 0.000 0.493
Si2 Si 0.500 0.500 0.243
W1 W 0.500 0.500 0.716
```

For the calculated density, the calculation gives 8.3 g/cm³. The value obtained for the density of states at the Fermi level is 0.70 states/eV/atom.

***

Model Q:
## ZrSi2W (PBE-GGA)

Data for a relaxed ZrSi2W crystal.

```
data_ZrSi2W
_chemical_formula_sum 'Zr2 Si4 W2'
_symmetry_space_group_name_H-M 'C m m 2'
_symmetry_Int_Tables_number 35
_symmetry_space_group_name_Hall 'C 2 -2'
_cell_length_a 3.467
_cell_length_b 4.415
_cell_length_c 8.628
_cell_angle_alpha 90.00
_cell_angle_beta 90.00
_cell_angle_gamma 90.00
loop_
_atom_site_label
_atom_site_type_symbol
_atom_site_fract_x
_atom_site_fract_y
_atom_site_fract_z
Zr1 Zr 0.000 0.000 0.000
Si1 Si 0.000 0.000 0.502
Si2 Si 0.000 0.500 0.745
W1 W 0.000 0.500 0.282
```

For the calculated density, the calculation gives 8.3 g/cm³. The value obtained for the density of states at the Fermi level is 0.68 states/eV/atom.

***

Model R:
## ZrSi2W (PBE-GGA)

Data for a relaxed ZrSi2W crystal.

```
data_ZrSi2W
_chemical_formula_sum 'Zr4 Si8 W4'
_symmetry_space_group_name_H-M 'F m -3 m'
_symmetry_Int_Tables_number 225
_symmetry_space_group_name_Hall '-F 4 2 3'
_cell_length_a 6.350
_cell_length_b 6.350
_cell_length_c 6.350
_cell_angle_alpha 90.00
_cell_angle_beta 90.00
_cell_angle_gamma 90.00
loop_
_atom_site_label
_atom_site_type_symbol
_atom_site_fract_x
_atom_site_fract_y
_atom_site_fract_z
Zr1 Zr 0.000 0.000 0.000
Si1 Si 0.250 0.250 0.250
W1 W 0.000 0.000 0.500
```

For the calculated density, the calculation gives 8.6 g/cm³. The value obtained for the density of states at the Fermi level is 0.64 states/eV/atom.

***

Need the numbers? Relative energies in eV/atom: model P 0.361; model Q 0.304; model R 0.000.

***

Model P:
## Zr3SiW (PBE-GGA)

Data for a relaxed Zr3SiW crystal.

```
data_Zr3SiW
_chemical_formula_sum 'Zr3 Si1 W1'
_symmetry_space_group_name_H-M 'P m -3 m'
_symmetry_Int_Tables_number 221
_symmetry_space_group_name_Hall '-P 4 2 3'
_cell_length_a 5.039
_cell_length_b 5.039
_cell_length_c 5.039
_cell_angle_alpha 90.00
_cell_angle_beta 90.00
_cell_angle_gamma 90.00
loop_
_atom_site_label
_atom_site_type_symbol
_atom_site_fract_x
_atom_site_fract_y
_atom_site_fract_z
Zr1 Zr 0.000 0.000 0.500
Si1 Si 0.500 0.500 0.500
W1 W 0.000 0.000 0.000
```

For the calculated density, the calculation gives 6.3 g/cm³. The value obtained for the density of states at the Fermi level is 1.50 states/eV/atom.

***

Model Q:
## Zr3SiW (PBE-GGA)

Data for a relaxed Zr3SiW crystal.

```
data_Zr3SiW
_chemical_formula_sum 'Zr3 Si1 W1'
_symmetry_space_group_name_H-M 'P m -3 m'
_symmetry_Int_Tables_number 221
_symmetry_space_group_name_Hall '-P 4 2 3'
_cell_length_a 4.860
_cell_length_b 4.860
_cell_length_c 4.860
_cell_angle_alpha 90.00
_cell_angle_beta 90.00
_cell_angle_gamma 90.00
loop_
_atom_site_label
_atom_site_type_symbol
_atom_site_fract_x
_atom_site_fract_y
_atom_site_fract_z
Zr1 Zr 0.000 0.000 0.500
Si1 Si 0.000 0.000 0.000
W1 W 0.500 0.500 0.500
```

For the calculated density, the calculation gives 7.0 g/cm³. The value obtained for the density of states at the Fermi level is 0.68 states/eV/atom.

***

Need the numbers? Relative energies in eV/atom: model P 0.280; model Q 0.000.

***

Model P:
## ZrSiW3 (PBE-GGA)

Data for a relaxed ZrSiW3 crystal.

```
data_ZrSiW3
_chemical_formula_sum 'Zr1 Si1 W3'
_symmetry_space_group_name_H-M 'P m -3 m'
_symmetry_Int_Tables_number 221
_symmetry_space_group_name_Hall '-P 4 2 3'
_cell_length_a 4.545
_cell_length_b 4.545
_cell_length_c 4.545
_cell_angle_alpha 90.00
_cell_angle_beta 90.00
_cell_angle_gamma 90.00
loop_
_atom_site_label
_atom_site_type_symbol
_atom_site_fract_x
_atom_site_fract_y
_atom_site_fract_z
Zr1 Zr 0.000 0.000 0.000
Si1 Si 0.500 0.500 0.500
W1 W 0.000 0.500 0.500
```

For the calculated density, the calculation gives 11.9 g/cm³. The value obtained for the density of states at the Fermi level is 0.85 states/eV/atom.

***

Model Q:
## ZrSiW3 (PBE-GGA)

Data for a relaxed ZrSiW3 crystal.

```
data_ZrSiW3
_chemical_formula_sum 'Zr1 Si1 W3'
_symmetry_space_group_name_H-M 'P m -3 m'
_symmetry_Int_Tables_number 221
_symmetry_space_group_name_Hall '-P 4 2 3'
_cell_length_a 4.801
_cell_length_b 4.801
_cell_length_c 4.801
_cell_angle_alpha 90.00
_cell_angle_beta 90.00
_cell_angle_gamma 90.00
loop_
_atom_site_label
_atom_site_type_symbol
_atom_site_fract_x
_atom_site_fract_y
_atom_site_fract_z
Zr1 Zr 0.000 0.000 0.000
Si1 Si 0.500 0.500 0.500
W1 W 0.000 0.000 0.500
```

For the calculated density, the calculation gives 10.1 g/cm³. The value obtained for the density of states at the Fermi level is 0.94 states/eV/atom.

***

Need the numbers? Relative energies in eV/atom: model P 0.000; model Q 1.912.